RbInSe: optimized geometry, GGA-PBE.

Unit cell a=6.674 b=4.394 c=4.394 alpha=120.00 beta=90.00 gamma=90.00
Fractional positions:
Se 0.294 0.333 0.667
Rb 0.629 0.667 0.333
In 0.077 0.000 0.000

Computed properties:
* space-group type: P3m1, No. 156
* uncorrected formation energy: -0.7007 eV per atom



MnIn2SiNi: optimized geometry, GGA-PBE.

Unit cell a=4.988 b=4.282 c=4.988 alpha=90.00 beta=90.00 gamma=90.00
Site moments in Bohr magnetons follow the coordinates.
Fractional positions:
Ni 0.000 0.000 0.000  -0.07
Si 0.000 0.500 0.000  -0.02
Mn 0.500 0.500 0.500  4.13
In 0.000 0.000 0.500  -0.03
In 0.500 0.000 0.000  -0.02

Computed properties:
* space-group type: P4/mmm, No. 123
* uncorrected formation energy: 0.4014 eV per atom



Nd2Dy4Ho7: optimized geometry, GGA-PBE.

Unit cell a=6.056 b=6.056 c=13.345 alpha=90.00 beta=90.00 gamma=120.00
Fractional positions:
Nd 0.667 0.333 0.000
Nd 0.333 0.667 0.000
Dy 0.000 0.000 0.605
Dy 0.000 0.000 0.395
Dy 0.667 0.333 0.500
Dy 0.333 0.667 0.500
Ho 0.000 0.648 0.784
Ho 0.000 0.352 0.216
Ho 0.000 0.000 0.000
Ho 0.648 0.000 0.784
Ho 0.352 0.000 0.216
Ho 0.648 0.648 0.216
Ho 0.352 0.352 0.784

Computed properties:
* space-group type: P-31m, No. 162
* formation enthalpy at 0 K: 0.1828 eV per atom



HoLuIn2: optimized geometry, GGA-PBE.

Unit cell a=5.267 b=5.267 c=5.267 alpha=60.00 beta=60.00 gamma=60.00
Fractional positions:
Lu 0.750 0.750 0.750
Ho 0.250 0.250 0.250
In 0.000 0.000 0.000
In 0.500 0.500 0.500

Computed properties:
* space-group type: Fm-3m, No. 225
* formation enthalpy at 0 K: -0.4223 eV per atom



PaCrAsN: optimized geometry, GGA-PBE.

Unit cell a=3.864 b=3.864 c=8.502 alpha=90.00 beta=90.00 gamma=90.00
Site moments in Bohr magnetons follow the coordinates.
Fractional positions:
Pa 0.000 0.500 0.857  0.04
Pa 0.500 0.000 0.143  0.04
Cr 0.000 0.000 0.500  1.07
Cr 0.500 0.500 0.500  1.07
As 0.500 0.000 0.676  -0.04
As 0.000 0.500 0.324  -0.04
N 0.500 0.500 0.000  0.00
N 0.000 0.000 0.000  0.00

Computed properties:
* space-group type: P4/nmm, No. 129
* uncorrected formation energy: -1.0444 eV per atom



BeBrF3: optimized geometry, GGA-PBE.

Unit cell a=4.497 b=4.497 c=4.497 alpha=90.00 beta=90.00 gamma=90.00
Site moments in Bohr magnetons follow the coordinates.
Fractional positions:
Be 0.500 0.500 0.500  0.33
Br 0.000 0.000 0.000  0.00
F 0.000 0.500 0.000  0.03
F 0.000 0.000 0.500  0.02
F 0.500 0.000 0.000  0.02

Computed properties:
* space-group type: Pm-3m, No. 221
* uncorrected formation energy: 0.0397 eV per atom



Ce8Rh3Au2: optimized geometry, GGA-PBE.

Unit cell a=6.371 b=7.695 c=8.233 alpha=117.86 beta=98.19 gamma=90.00
Site moments in Bohr magnetons follow the coordinates.
Fractional positions:
Ce 0.898 0.579 0.158  0.49
Ce 0.102 0.421 0.842  0.49
Ce 0.858 0.163 0.326  0.86
Ce 0.142 0.837 0.674  0.86
Ce 0.630 0.628 0.774  0.50
Ce 0.630 0.146 0.774  0.50
Ce 0.370 0.854 0.226  0.50
Ce 0.370 0.372 0.226  0.50
Rh 0.500 0.000 0.000  -0.05
Rh 0.000 0.175 0.000  -0.05
Rh 0.000 0.825 0.000  -0.05
Au 0.330 0.261 0.521  0.01
Au 0.670 0.739 0.479  0.01

Computed properties:
* space-group type: C2/m, No. 12
* formation enthalpy at 0 K: -0.3782 eV per atom



LaPr6Nd4: optimized geometry, GGA-PBE.

Unit cell a=3.676 b=11.287 c=11.287 alpha=120.00 beta=90.00 gamma=90.00
Fractional positions:
La 0.000 0.000 0.000
Pr 0.000 0.531 0.061
Pr 0.500 0.630 0.815
Pr 0.000 0.531 0.469
Pr 0.000 0.939 0.469
Pr 0.500 0.185 0.815
Pr 0.500 0.185 0.370
Nd 0.500 0.840 0.680
Nd 0.500 0.320 0.160
Nd 0.500 0.840 0.160
Nd 0.000 0.333 0.667

Computed properties:
* space-group type: P-6m2, No. 187
* formation enthalpy at 0 K: 0.1400 eV per atom



BaMg2W: optimized geometry, GGA-PBE.

Unit cell a=5.347 b=5.347 c=6.517 alpha=83.97 beta=83.97 gamma=32.99
Site moments in Bohr magnetons follow the coordinates.
Fractional positions:
Ba 0.250 0.250 0.250  0.01
Mg 0.016 0.016 0.933  0.00
Mg 0.484 0.484 0.567  0.00
W 0.750 0.750 0.750  0.36

Computed properties:
* space-group type: C2/m, No. 12
* formation enthalpy at 0 K: 0.7967 eV per atom



NbAuS3: optimized geometry, GGA-PBE.

Unit cell a=4.753 b=4.753 c=4.753 alpha=90.00 beta=90.00 gamma=90.00
Site moments in Bohr magnetons follow the coordinates.
Fractional positions:
Nb 0.500 0.500 0.500  2.21
Au 0.000 0.000 0.000  -0.02
S 0.000 0.500 0.000  -0.22
S 0.000 0.000 0.500  -0.15
S 0.500 0.000 0.000  -0.17

Computed properties:
* space-group type: Pm-3m, No. 221
* uncorrected formation energy: 0.8522 eV per atom



NaMg2Ag2Sb2: optimized geometry, GGA-PBE.

Unit cell a=4.742 b=4.742 c=9.065 alpha=74.84 beta=74.84 gamma=60.00
Fractional positions:
Na 0.000 0.000 0.000
Mg 0.138 0.138 0.587
Mg 0.862 0.862 0.413
Ag 0.555 0.555 0.334
Ag 0.445 0.445 0.666
Sb 0.743 0.743 0.771
Sb 0.257 0.257 0.229

Computed properties:
* space-group type: R-3m, No. 166
* uncorrected formation energy: -0.2468 eV per atom



HoEr2Tm2: optimized geometry, GGA-PBE.

Unit cell a=9.194 b=9.194 c=3.631 alpha=90.00 beta=90.00 gamma=90.00
Fractional positions:
Ho 0.000 0.000 0.000
Ho 0.500 0.500 0.000
Er 0.328 0.828 0.500
Er 0.828 0.672 0.500
Er 0.672 0.172 0.500
Er 0.172 0.328 0.500
Tm 0.126 0.626 0.000
Tm 0.626 0.874 0.000
Tm 0.874 0.374 0.000
Tm 0.374 0.126 0.000

Computed properties:
* space-group type: P4/mbm, No. 127
* formation enthalpy at 0 K: 0.0910 eV per atom



Cu2AsSe: optimized geometry, GGA-PBE.

Unit cell a=4.450 b=4.450 c=4.367 alpha=69.40 beta=69.40 gamma=102.95
Fractional positions:
As 0.000 0.500 0.500
Cu 0.000 0.000 0.000
Cu 0.500 0.500 0.000
Se 0.500 0.000 0.500

Computed properties:
* space-group type: C2/m, No. 12
* uncorrected formation energy: 0.1608 eV per atom



BaHgRu2: optimized geometry, GGA-PBE.

Unit cell a=3.201 b=5.498 c=6.080 alpha=51.37 beta=90.00 gamma=90.00
Site moments in Bohr magnetons follow the coordinates.
Fractional positions:
Ba 0.500 0.500 0.500  -0.02
Hg 0.000 0.000 0.500  -0.01
Ru 0.000 0.000 0.000  0.61
Ru 0.500 0.500 0.000  0.69

Computed properties:
* space-group type: P2/m, No. 10
* formation enthalpy at 0 K: 0.8993 eV per atom



Sr2Mg2V: optimized geometry, GGA-PBE.

Unit cell a=6.206 b=6.206 c=5.243 alpha=90.00 beta=90.00 gamma=90.00
Site moments in Bohr magnetons follow the coordinates.
Fractional positions:
Sr 0.000 0.500 0.000  -0.01
Sr 0.500 0.000 0.000  -0.01
Mg 0.000 0.000 0.000  0.00
Mg 0.000 0.000 0.500  0.00
V 0.500 0.500 0.500  0.59

Computed properties:
* space-group type: P4/mmm, No. 123
* formation enthalpy at 0 K: 1.1420 eV per atom



Na6RhPb2: optimized geometry, GGA-PBE.

Unit cell a=3.672 b=9.204 c=9.204 alpha=123.69 beta=84.05 gamma=84.05
Fractional positions:
Na 0.797 0.500 0.155
Na 0.203 0.500 0.845
Na 0.671 0.703 0.703
Na 0.797 0.155 0.500
Na 0.203 0.845 0.500
Na 0.329 0.297 0.297
Rh 0.000 0.000 0.000
Pb 0.500 0.869 0.131
Pb 0.500 0.131 0.869

Computed properties:
* space-group type: C2/m, No. 12
* formation enthalpy at 0 K: -0.0262 eV per atom



Cr2WAu2: optimized geometry, GGA-PBE.

Unit cell a=3.087 b=3.087 c=8.559 alpha=79.61 beta=79.61 gamma=90.00
Fractional positions:
Cr 0.750 0.250 0.500
Cr 0.250 0.750 0.500
Au 0.389 0.389 0.222
Au 0.611 0.611 0.778
W 0.000 0.000 0.000

Computed properties:
* space-group type: I4/mmm, No. 139
* formation enthalpy at 0 K: 0.6907 eV per atom



Ca2ErHg: optimized geometry, GGA-PBE.

Unit cell a=3.766 b=3.766 c=10.927 alpha=80.08 beta=80.08 gamma=60.00
Site moments in Bohr magnetons follow the coordinates.
Fractional positions:
Ca 0.073 0.073 0.780  0.00
Ca 0.260 0.260 0.221  0.00
Er 0.501 0.501 0.498  0.24
Hg 0.666 0.666 0.001  -0.01

Computed properties:
* space-group type: R3m, No. 160
* formation enthalpy at 0 K: -0.1119 eV per atom



Er2ZnIr3: optimized geometry, GGA-PBE.

Unit cell a=5.493 b=5.493 c=8.193 alpha=90.00 beta=90.00 gamma=120.00
Fractional positions:
Er 0.667 0.333 0.438
Er 0.333 0.667 0.562
Er 0.333 0.667 0.938
Er 0.667 0.333 0.062
Zn 0.000 0.000 0.500
Zn 0.000 0.000 0.000
Ir 0.169 0.339 0.250
Ir 0.339 0.169 0.750
Ir 0.831 0.661 0.750
Ir 0.169 0.831 0.250
Ir 0.831 0.169 0.750
Ir 0.661 0.831 0.250

Computed properties:
* space-group type: P6_3/mmc, No. 194
* formation enthalpy at 0 K: -0.7387 eV per atom



LiAcTb2: optimized geometry, GGA-PBE.

Unit cell a=5.712 b=5.712 c=5.712 alpha=60.00 beta=60.00 gamma=60.00
Fractional positions:
Ac 0.000 0.000 0.000
Tb 0.250 0.250 0.250
Tb 0.750 0.750 0.750
Li 0.500 0.500 0.500

Computed properties:
* space-group type: Fm-3m, No. 225
* formation enthalpy at 0 K: 0.2557 eV per atom



| no. | mass density (kg/m³) |
| --- | --- |
| 1 | 4154 |
| 2 | 5787 |
| 3 | 8201 |
| 4 | 9155 |
| 5 | 9731 |
| 6 | 2664 |
| 7 | 8599 |
| 8 | 6392 |
| 9 | 6089 |
| 10 | 5969 |
| 11 | 5238 |
| 12 | 9060 |
| 13 | 6709 |
| 14 | 10729 |
| 15 | 2260 |
| 16 | 4309 |
| 17 | 14358 |
| 18 | 5656 |
| 19 | 15153 |
| 20 | 6952 |